First-principles (PBE-GGA) data for CaTlAgMoN after structural relaxation, as listed in the Alexandria database.

a = 3.4913 Å, b = 3.4505 Å, c = 8.2301 Å
α = 90.00°, β = 90.00°, γ = 90.00°
Closest atoms and distances in Å follow each position.
Sites, in units of the cell vectors:
Ca: 0.0000 0.0000 0.0913  2 N 2.36
Mo: 0.5000 0.5000 0.3888  2 N 1.92
Ag: 0.5000 0.5000 0.8338  4 Tl 3.03, 4 Ca 3.24
Tl: 0.0000 0.0000 0.6170  4 Ag 3.03, 4 Mo 3.09, 2 N 3.24
N: 0.5000 0.0000 0.2852  2 Mo 1.92

Output
**Energy**: -5.30 eV per atom
**Formation energy without anion corrections**: -0.02 eV/atom
**Excess energy over the best structure of this formula in the dataset**: 0.125 eV/atom
**Calculated density**: 7.742 Mg/m³

First-principles (PBE-GGA) data for CaTlAgMoN after structural relaxation, as listed in the Alexandria database.

a = 10.4175 Å, b = 3.1511 Å, c = 5.4559 Å
α = 90.00°, β = 100.02°, γ = 90.00°
Closest atoms and distances in Å follow each position.
Sites, in units of the cell vectors:
Mo: 0.3733 0.5000 0.6985  3 N 2.17
N: 0.2579 0.0000 0.4936  3 Mo 2.17, 3 Ca 2.31
Tl: 0.6103 0.0000 0.6134  3 Mo 3.03-3.05, 3 Ag 3.10-3.11, 6 Tl 3.15
Mo: 0.3733 0.0000 0.1985  3 N 2.17
Ca: 0.1190 0.5000 0.2808  3 N 2.31
Ag: 0.8555 0.0000 0.3590  3 Tl 3.10-3.11, 6 Ag 3.15, 3 Ca 3.26
Ag: 0.8555 0.5000 0.8590  3 Tl 3.10-3.11, 6 Ag 3.15, 3 Ca 3.26
Ca: 0.1190 0.0000 0.7808  3 N 2.31
N: 0.2579 0.5000 0.9936  3 Mo 2.17, 3 Ca 2.31
Tl: 0.6103 0.5000 0.1134  3 Mo 3.03-3.05, 3 Ag 3.10-3.11, 6 Tl 3.15

Output
**Energy**: -5.41 eV per atom
**Formation energy without anion corrections**: -0.13 eV/atom
**Excess energy over the best structure of this formula in the dataset**: 0.013 eV/atom
**Calculated density**: 8.705 Mg/m³

Q: The highest calculated density belongs to which entry?
A: number 2

Q: Which formula does entry 1 have?
A: CaTlAgMoN

Q: What is the formula in the second record?
A: CaTlAgMoN

Q: Look up the formation energy without anion corrections of the second one.
A: -0.13 eV/atom